1.
# SmSbPt3

A relaxed SmSbPt3 crystal (PBE, the Alexandria database).

a b c (Å): 5.8434 5.8434 15.9615
angles (deg): 90.00 90.00 120.00
Closest atoms and distances in Å follow each position.
Space group P6_3/mmc (No. 194)
Unique sites:
Sm  0.0000  0.0000  0.0000 [2 per cell]  6 Pt 2.92
Sm  0.3333  0.6667  0.2500 [2 per cell]  6 Pt 2.92
Sb  0.3333  0.6667  0.6281 [4 per cell]  6 Pt 2.65-2.67
Pt  0.0000  0.5000  0.0000 [6 per cell]  2 Sb 2.65, 4 Pt 2.92, 2 Sm 2.92
Pt  0.1532  0.3065  0.7500 [6 per cell]  2 Sb 2.67, 2 Pt 2.69, 2 Sm 2.92

Summary:
Raw total energy (eV per atom): -5.9682
Uncorrected formation energy (eV per formula unit): -2.88
Total magnetic moment (Bohr magnetons per cell): 0.00

***

2.
# Tb3Er5P8

A relaxed Tb3Er5P8 crystal (PBE, the Alexandria database).

a b c (Å): 7.9809 7.9809 19.5477
angles (deg): 90.00 90.00 120.00
Closest atoms and distances in Å follow each position.
Space group R-3m (No. 166, hexagonal axes)
Unique sites:
Tb  0.0000  0.5000  0.0000 [9 per cell]  6 P 2.84
Er  0.0000  0.0000  0.0000 [3 per cell]  6 P 2.82
Er  0.0000  0.0000  0.5000 [3 per cell]  6 P 2.82
Er  0.0000  0.5000  0.5000 [9 per cell]  6 P 2.81
P  0.0000  0.0000  0.2487 [6 per cell]  3 Er 2.81, 3 Tb 2.84
P  0.0017  0.5008  0.7508 [18 per cell]  4 Er 2.81-2.82, 2 Tb 2.84

Summary:
Raw total energy (eV per atom): -6.6104
Formation enthalpy at 0 K (eV/atom): -1.611
Total magnetic moment (Bohr magnetons per cell): 0.00

***

3.
# Dy8BSe4S3

A relaxed Dy8BSe4S3 crystal (PBE, the Alexandria database).

a b c (Å): 7.9103 7.9103 19.8876
angles (deg): 90.00 90.00 120.00
Closest atoms and distances in Å follow each position.
Space group R-3m (No. 166, hexagonal axes)
Unique sites:
Dy  0.0000  0.0000  0.2428 [6 per cell]  3 S 2.74, 3 Se 2.91
Dy  0.0203  0.5101  0.2399 [18 per cell]  1 B 2.59, 2 S 2.77, 2 Se 2.89
B  0.0000  0.0000  0.5000 [3 per cell]  6 Dy 2.59
Se  0.0000  0.0000  0.0000 [3 per cell]  6 Dy 3.05
Se  0.0000  0.5000  0.0000 [9 per cell]  6 Dy 2.89-2.91
S  0.0000  0.5000  0.5000 [9 per cell]  6 Dy 2.74-2.77

Summary:
Raw total energy (eV per atom): -6.0964
Uncorrected formation energy (eV per formula unit): -27.73
Total magnetic moment (Bohr magnetons per cell): 0.00

***

4.
# CsYRe2

A relaxed CsYRe2 crystal (PBE, the Alexandria database).

a b c (Å): 7.0604 7.0604 7.0604
angles (deg): 90.00 90.00 90.00
Closest atoms and distances in Å follow each position.
Space group Fm-3m (No. 225)
Unique sites:
Cs  0.0000  0.0000  0.0000 [4 per cell]  8 Re 3.06
Y  0.0000  0.0000  0.5000 [4 per cell]  8 Re 3.06
Re  0.2500  0.2500  0.2500 [8 per cell]  4 Cs 3.06, 4 Y 3.06

Summary:
Raw total energy (eV per atom): -6.0335
Formation enthalpy at 0 K (eV/atom): 2.020
Total magnetic moment (Bohr magnetons per cell): 0.00

***

5.
# Be2FePt

A relaxed Be2FePt crystal (PBE, the Alexandria database).

a b c (Å): 8.5006 2.6590 4.0178
angles (deg): 90.00 107.91 90.00
Closest atoms and distances in Å follow each position.
Space group Cm (No. 8)
Unique sites:
Be  0.0000  0.0000  0.0000 [2 per cell]  2 Be 2.36, 4 Fe 2.39-2.44, 3 Pt 2.40-2.42
Be  0.2248  0.5000  0.3239 [2 per cell]  2 Be 2.36, 3 Fe 2.37-2.44, 4 Pt 2.41-2.43
Fe  0.4772  0.0000  0.4773 [2 per cell]  7 Be 2.37-2.44
Pt  0.2528  0.0000  0.8441 [2 per cell]  7 Be 2.40-2.43, 2 Pt 2.66, 1 Fe 2.67

Summary:
Raw total energy (eV per atom): -5.8108
Formation enthalpy at 0 K (eV/atom): -0.322
Total magnetic moment (Bohr magnetons per cell): 4.37

***

6.
# K3Cu2SbBr9

A relaxed K3Cu2SbBr9 crystal (PBE, the Alexandria database).

a b c (Å): 7.5636 7.5636 9.3597
angles (deg): 90.00 90.00 120.00
Closest atoms and distances in Å follow each position.
Space group P-3m1 (No. 164)
Unique sites:
K  0.0000  0.0000  0.0000 [1 per cell]  12 Br 3.78
K  0.3333  0.6667  0.7013 [2 per cell]  9 Br 3.55-3.79
Cu  0.3333  0.6667  0.1451 [2 per cell]  6 Br 2.57-2.70
Sb  0.0000  0.0000  0.5000 [1 per cell]  6 Br 2.79
Br  0.0000  0.5000  0.0000 [3 per cell]  2 Cu 2.57
Br  0.1719  0.3437  0.3242 [6 per cell]  1 Cu 2.70, 1 Sb 2.79

Summary:
Raw total energy (eV per atom): -2.9707
Uncorrected formation energy (eV per formula unit): -13.90
Total magnetic moment (Bohr magnetons per cell): 0.00